First-principles (PBE-GGA) data for a relaxed K3YEr2S6 crystal, as listed in Alexandria.

The space group is C2/m (No. 12) and the conventional cell measures 6.980, 12.091 and 7.723 Å, with angles of 90.00, 107.53 and 90.00 degrees. The distinct sites, in fractional coordinates, are K at (0.000, 0.000, 0.000), K at (0.000, 0.334, 0.000), Y at (0.000, 0.500, 0.500), Er at (0.000, 0.167, 0.500), S at (0.231, 0.000, 0.701) and S at (0.235, 0.332, 0.701).

The value obtained for the total energy is -132.7 eV per cell. The value obtained for the density of states at the Fermi level is 0.000 states/eV/atom.

First-principles (PBE-GGA) data for a relaxed K3AcSb2O9 crystal, as listed in Alexandria.

The space group is P-3m1 (No. 164) and the conventional cell measures 6.0076, 6.0076 and 7.6989 Å, with angles of 90.00, 90.00 and 120.00 degrees. The distinct sites, in fractional coordinates, are K at (0.0000, 0.0000, 0.0000), K at (0.3333, 0.6667, 0.6908), Ac at (0.0000, 0.0000, 0.5000), Sb at (0.3333, 0.6667, 0.1505), O at (0.0000, 0.5000, 0.0000) and O at (0.1783, 0.3565, 0.2960).

The value obtained for the total energy is -85.3 eV per cell. The value obtained for the density of states at the Fermi level is 0.600 states/eV/atom.

First-principles (PBE-GGA) data for a relaxed HfGaAu crystal, as listed in Alexandria.

The space group is Pm (No. 6) and the conventional cell measures 5.321, 3.059 and 7.117 Å, with angles of 90.00, 105.37 and 90.00 degrees. The distinct sites, in fractional coordinates, are Hf at (0.000, 0.000, 0.000), Hf at (0.195, 0.000, 0.611), Ga at (0.738, 0.500, 0.656), Ga at (0.847, 0.500, 0.300), Au at (0.363, 0.500, 0.317) and Au at (0.479, 0.500, 0.948).

For the energy of formation, the calculation gives -1.2 eV/f.u. The value obtained for the density of states at the Fermi level is 0.523 states/eV/atom.

First-principles (PBE-GGA) data for a relaxed SbWSe2 crystal, as listed in Alexandria.

The space group is P4mm (No. 99) and the conventional cell measures 3.060, 3.060 and 9.557 Å, with angles of 90.00, 90.00 and 90.00 degrees. The distinct sites, in fractional coordinates, are Sb at (0.000, 0.000, 0.000), W at (0.500, 0.500, 0.780), Se at (0.000, 0.000, 0.626) and Se at (0.500, 0.500, 0.310).

The value obtained for the total energy is -23.1 eV per cell. The value obtained for the density of states at the Fermi level is 0.765 states/eV/atom.

First-principles (PBE-GGA) data for a relaxed Li7Pd crystal, as listed in Alexandria.

The space group is R-3m (No. 166, hexagonal axes) and the conventional cell measures 4.5310, 4.5310 and 22.7231 Å, with angles of 90.00, 90.00 and 120.00 degrees. The distinct sites, in fractional coordinates, are Li at (0.0000, 0.0000, 0.0000), Li at (0.0000, 0.0000, 0.1304), Li at (0.0000, 0.0000, 0.2438), Li at (0.0000, 0.0000, 0.3825) and Pd at (0.0000, 0.0000, 0.5000).

For the energy of formation, the calculation gives -1.1 eV/f.u. The value obtained for the density of states at the Fermi level is 0.315 states/eV/atom.

First-principles (PBE-GGA) data for a relaxed VGa2Rh crystal, as listed in Alexandria.

The space group is Fm-3m (No. 225) and the conventional cell measures 6.124, 6.124 and 6.124 Å, with angles of 90.00, 90.00 and 90.00 degrees. The distinct sites, in fractional coordinates, are V at (0.000, 0.000, 0.000), Ga at (0.250, 0.250, 0.250) and Rh at (0.000, 0.000, 0.500).

For the energy of formation, the calculation gives -1.5 eV/f.u. The value obtained for the density of states at the Fermi level is 0.390 states/eV/atom.

First-principles (PBE-GGA) data for a relaxed Ru3Rh crystal, as listed in Alexandria.

The space group is Cmcm (No. 63) and the conventional cell measures 7.373, 7.436 and 4.413 Å, with angles of 90.00, 90.00 and 90.00 degrees. The distinct sites, in fractional coordinates, are Ru at (0.000, 0.081, 0.250), Ru at (0.167, 0.251, 0.750) and Rh at (0.000, 0.416, 0.250).

For the energy of formation, the calculation gives 1.5 eV/f.u. The value obtained for the density of states at the Fermi level is 0.910 states/eV/atom.

First-principles (PBE-GGA) data for a relaxed BaCa2CuF8 crystal, as listed in Alexandria.

The space group is P-1 (No. 2) and the conventional cell measures 4.315, 5.620 and 7.818 Å, with angles of 88.44, 85.34 and 87.17 degrees. The distinct sites, in fractional coordinates, are Ba at (0.000, 0.000, 0.000), Ca at (0.442, 0.498, 0.259), Cu at (0.000, 0.000, 0.500), F at (0.063, 0.367, 0.767), F at (0.188, 0.135, 0.298), F at (0.324, 0.738, 0.502) and F at (0.494, 0.729, 0.994).

The value obtained for the total energy is -64.2 eV per cell.

First-principles (PBE-GGA) data for a relaxed K3PaTl2O8 crystal, as listed in Alexandria.

The space group is P-3m1 (No. 164) and the conventional cell measures 6.1885, 6.1885 and 8.1308 Å, with angles of 90.00, 90.00 and 120.00 degrees. The distinct sites, in fractional coordinates, are K at (0.0000, 0.0000, 0.0000), K at (0.3333, 0.6667, 0.6335), Pa at (0.0000, 0.0000, 0.5000), Tl at (0.3333, 0.6667, 0.2011), O at (0.1610, 0.3221, 0.3455) and O at (0.3333, 0.6667, 0.9500).

The value obtained for the total energy is -78.1 eV per cell. The value obtained for the density of states at the Fermi level is 1.017 states/eV/atom.

First-principles (PBE-GGA) data for a relaxed Ti2OsPt crystal, as listed in Alexandria.

The space group is P4/mmm (No. 123) and the conventional cell measures 3.079, 3.079 and 6.487 Å, with angles of 90.00, 90.00 and 90.00 degrees. The distinct sites, in fractional coordinates, are Ti at (0.000, 0.000, 0.238), Os at (0.500, 0.500, 0.000) and Pt at (0.500, 0.500, 0.500).

For the energy of formation, the calculation gives -2.9 eV/f.u. The value obtained for the density of states at the Fermi level is 0.953 states/eV/atom.

First-principles (PBE-GGA) data for a relaxed ZnP crystal, as listed in Alexandria.

The space group is P4/nmm (No. 129, origin choice 2) and the conventional cell measures 3.889, 3.889 and 4.701 Å, with angles of 90.00, 90.00 and 90.00 degrees. The distinct sites, in fractional coordinates, are Zn at (0.250, 0.750, 0.000) and P at (0.250, 0.250, 0.320).

For the energy of formation, the calculation gives 0.5 eV/f.u. The value obtained for the density of states at the Fermi level is 0.626 states/eV/atom.

First-principles (PBE-GGA) data for a relaxed Y2HgPt crystal, as listed in Alexandria.

The space group is R3m (No. 160, hexagonal axes) and the conventional cell measures 3.8457, 3.8457 and 26.1895 Å, with angles of 90.00, 90.00 and 120.00 degrees. The distinct sites, in fractional coordinates, are Y at (0.0000, 0.0000, 0.0000), Y at (0.0000, 0.0000, 0.2147), Hg at (0.0000, 0.0000, 0.4642) and Pt at (0.0000, 0.0000, 0.7292).

For the energy of formation, the calculation gives -1.4 eV/f.u. The value obtained for the density of states at the Fermi level is 1.132 states/eV/atom.

First-principles (PBE-GGA) data for a relaxed ReSiPb2 crystal, as listed in Alexandria.

The space group is Cm (No. 8) and the conventional cell measures 7.987, 3.501 and 7.434 Å, with angles of 90.00, 108.91 and 90.00 degrees. The distinct sites, in fractional coordinates, are Re at (0.000, 0.000, 0.000), Si at (0.306, 0.000, 0.017), Pb at (0.052, 0.500, 0.699) and Pb at (0.211, 0.500, 0.318).

The value obtained for the total energy is -47.7 eV per cell. The value obtained for the density of states at the Fermi level is 0.749 states/eV/atom.

First-principles (PBE-GGA) data for a relaxed SrCo2Cl crystal, as listed in Alexandria.

The space group is C2/m (No. 12) and the conventional cell measures 11.392, 3.548 and 4.658 Å, with angles of 90.00, 107.26 and 90.00 degrees. The distinct sites, in fractional coordinates, are Sr at (0.000, 0.000, 0.000), Co at (0.217, 0.500, 0.852) and Cl at (0.000, 0.500, 0.500).

The value obtained for the total energy is -36.0 eV per cell. The value obtained for the density of states at the Fermi level is 0.469 states/eV/atom.

First-principles (PBE-GGA) data for a relaxed Ac4Ga2Pd crystal, as listed in Alexandria.

The space group is C2/m (No. 12) and the conventional cell measures 17.939, 4.271 and 6.551 Å, with angles of 90.00, 110.49 and 90.00 degrees. The distinct sites, in fractional coordinates, are Ac at (0.095, 0.000, 0.460), Ac at (0.140, 0.500, 0.013), Ga at (0.238, 0.500, 0.621) and Pd at (0.000, 0.000, 0.000).

For the energy of formation, the calculation gives -2.8 eV/f.u. The value obtained for the density of states at the Fermi level is 1.149 states/eV/atom.

First-principles (PBE-GGA) data for a relaxed PuScCd crystal, as listed in Alexandria.

The space group is Pm (No. 6) and the conventional cell measures 3.184, 5.315 and 8.725 Å, with angles of 90.00, 100.48 and 90.00 degrees. The distinct sites, in fractional coordinates, are Pu at (0.000, 0.000, 0.000), Pu at (0.330, 0.000, 0.665), Sc at (0.117, 0.500, 0.233), Sc at (0.446, 0.500, 0.890), Cd at (0.664, 0.000, 0.329) and Cd at (0.775, 0.500, 0.552).

For the energy of formation, the calculation gives 0.0 eV/f.u. The value obtained for the density of states at the Fermi level is 2.978 states/eV/atom.

First-principles (PBE-GGA) data for a relaxed Li5Mg3I12 crystal, as listed in Alexandria.

The space group is Ia-3d (No. 230) and the conventional cell measures 17.446, 17.446 and 17.446 Å, with angles of 90.00, 90.00 and 90.00 degrees. The distinct sites, in fractional coordinates, are Li at (0.000, 0.000, 0.000), Li at (0.000, 0.250, 0.375), Mg at (0.000, 0.250, 0.125) and I at (0.027, 0.067, 0.653).

The value obtained for the total energy is -394.3 eV per cell. The value obtained for the density of states at the Fermi level is 1.082 states/eV/atom.

First-principles (PBE-GGA) data for a relaxed SbWSeI2 crystal, as listed in Alexandria.

The space group is P4/mmm (No. 123) and the conventional cell measures 5.470, 5.470 and 5.828 Å, with angles of 90.00, 90.00 and 90.00 degrees. The distinct sites, in fractional coordinates, are Sb at (0.000, 0.000, 0.000), W at (0.500, 0.500, 0.000), Se at (0.000, 0.000, 0.500) and I at (0.000, 0.500, 0.500).

The value obtained for the total energy is -15.6 eV per cell. The value obtained for the density of states at the Fermi level is 1.262 states/eV/atom.

First-principles (PBE-GGA) data for a relaxed GdMgGe4 crystal, as listed in Alexandria.

The space group is F-43m (No. 216) and the conventional cell measures 7.915, 7.915 and 7.915 Å, with angles of 90.00, 90.00 and 90.00 degrees. The distinct sites, in fractional coordinates, are Gd at (0.000, 0.000, 0.000), Mg at (0.250, 0.250, 0.750) and Ge at (0.124, 0.124, 0.376).

For the energy of formation, the calculation gives -1.3 eV/f.u. The value obtained for the density of states at the Fermi level is 0.623 states/eV/atom.

First-principles (PBE-GGA) data for a relaxed LiBe crystal, as listed in Alexandria.

The space group is P4/mmm (No. 123) and the conventional cell measures 2.316, 2.316 and 4.142 Å, with angles of 90.00, 90.00 and 90.00 degrees. The distinct sites, in fractional coordinates, are Li at (0.000, 0.000, 0.000) and Be at (0.500, 0.500, 0.500).

For the energy of formation, the calculation gives 0.6 eV/f.u. The value obtained for the density of states at the Fermi level is 0.597 states/eV/atom.

First-principles (PBE-GGA) data for a relaxed SrTcN3 crystal, as listed in Alexandria.

The space group is R-3 (No. 148, hexagonal axes) and the conventional cell measures 5.5267, 5.5267 and 16.0264 Å, with angles of 90.00, 90.00 and 120.00 degrees. The distinct sites, in fractional coordinates, are Sr at (0.0000, 0.0000, 0.1252), Tc at (0.0000, 0.0000, 0.3547) and N at (0.0103, 0.4499, 0.9276).

The value obtained for the total energy is -226.3 eV per cell. The value obtained for the density of states at the Fermi level is 0.000 states/eV/atom.

First-principles (PBE-GGA) data for a relaxed YScBeNi crystal, as listed in Alexandria.

The space group is F-43m (No. 216) and the conventional cell measures 6.596, 6.596 and 6.596 Å, with angles of 90.00, 90.00 and 90.00 degrees. The distinct sites, in fractional coordinates, are Y at (0.000, 0.000, 0.000), Sc at (0.000, 0.000, 0.500), Be at (0.250, 0.250, 0.750) and Ni at (0.250, 0.250, 0.250).

For the energy of formation, the calculation gives -0.6 eV/f.u. The value obtained for the density of states at the Fermi level is 0.964 states/eV/atom.